{
  "formula": "NiHg2HF6",
  "functional": "GGA+U",
  "state": "optimized geometry",
  "dft_energy_ev_per_atom": -3.25,
  "cell": [[-1.063, -4.529, 1.528], [2.313, -2.296, -5.194], [8.978, -0.705, 4.311]],
  "species": ["F", "F", "Hg", "F", "H", "H", "F", "F", "F", "F", "Hg", "Hg", "F", "Ni", "F", "F", "F", "F", "Ni", "Hg"],
  "fractional_positions": [[0.308, 0.844, 0.858], [0.808, 0.613, 0.000], [0.000, 0.000, 0.698], [0.192, 0.344, 0.642], [0.000, 0.500, 0.000], [0.500, 0.000, 0.500], [0.302, 0.842, 0.140], [0.308, 0.887, 0.500], [0.698, 0.158, 0.860], [0.802, 0.658, 0.640], [0.500, 0.500, 0.198], [0.000, 0.000, 0.302], [0.192, 0.387, 0.000], [0.500, 0.000, 0.000], [0.198, 0.342, 0.360], [0.808, 0.656, 0.358], [0.692, 0.156, 0.142], [0.692, 0.113, 0.500], [0.000, 0.500, 0.500], [0.500, 0.500, 0.802]]
}